Record 1
LaZr2GeO8 | PBE-GGA | optimized geometry

Lattice parameters (Å, degrees): 6.7688 7.1196 6.7344 90.00 90.00 90.00
With the nearest neighbours (Å) after each atom.
Space group Cmmm (No. 65)
One atom of each set of equivalent atoms:
La  0.0000  0.0000  0.0000 (multiplicity 2)  6 O 2.32-2.41
Zr  0.0000  0.5000  0.2566 (multiplicity 4)  6 O 2.08-2.22
Ge  0.0000  0.0000  0.5000 (multiplicity 2)  6 O 1.89-2.06
O  0.0000  0.2895  0.5000 (multiplicity 4)  1 Ge 2.06, 2 Zr 2.22
O  0.0000  0.3260  0.0000 (multiplicity 4)  2 Zr 2.13, 1 La 2.32
O  0.1955  0.0000  0.2995 (multiplicity 8)  1 Ge 1.89, 1 Zr 2.08

Values from the calculation:
Uncorrected formation energy in eV/atom: -2.64

***

Record 2
Li2BiHPt | PBE-GGA | optimized geometry

Lattice parameters (Å, degrees): 4.2556 4.2556 3.9098 90.00 90.00 90.00
With the nearest neighbours (Å) after each atom.
Space group P4/mmm (No. 123)
One atom of each set of equivalent atoms:
Li  0.0000  0.5000  0.0000 (multiplicity 2)  2 H 2.13
Bi  0.0000  0.0000  0.5000 (multiplicity 1)  8 Li 2.89, 4 Pt 3.01
H  0.5000  0.5000  0.0000 (multiplicity 1)  2 Pt 1.95, 4 Li 2.13
Pt  0.5000  0.5000  0.5000 (multiplicity 1)  2 H 1.95

Values from the calculation:
Distance to the lowest polymorph of the same formula in meV per atom: 0

***

DOS at the Fermi energy values, unit states/eV/f.u., following the record order: 5.05, 1.84.